[1]
Entry from Alexandria via LeMat-Bulk: La3Sm3In2 after structural relaxation (PBE).

Lattice parameters (Å, degrees): 6.640 6.640 16.608 90.00 90.00 133.00
Sites, in units of the cell vectors:
La1 0.041 0.959 0.607
La2 0.041 0.959 0.893
La3 0.278 0.722 0.750
La4 0.722 0.278 0.250
La5 0.959 0.041 0.107
La6 0.959 0.041 0.393
Sm1 0.362 0.638 0.538
Sm2 0.362 0.638 0.962
Sm3 0.447 0.553 0.250
Sm4 0.553 0.447 0.750
Sm5 0.638 0.362 0.038
Sm6 0.638 0.362 0.462
In1 0.237 0.763 0.131
In2 0.237 0.763 0.369
In3 0.763 0.237 0.631
In4 0.763 0.237 0.869

E_form	-0.164	eV/atom
DFT total energy	-71.46	eV/cell
spin magnetization	0.00	Bohr magnetons per cell
polymorph energy (0 for the lowest one)	50	meV per atom
volume	535.5	Å³/cell

[2]
Entry from Alexandria via LeMat-Bulk: Ba2TiNb3O12 after structural relaxation (PBE).

Lattice parameters (Å, degrees): 7.383 7.383 7.383 61.08 61.08 61.08
Sites, in units of the cell vectors:
Ba1 0.174 0.174 0.174
Ba2 0.826 0.826 0.826
Ti1 0.500 0.500 0.500
Nb1 0.000 0.500 0.500
Nb2 0.500 0.000 0.500
Nb3 0.500 0.500 0.000
O1 0.182 0.182 0.552
O2 0.182 0.552 0.182
O3 0.187 0.567 0.567
O4 0.433 0.433 0.813
O5 0.433 0.813 0.433
O6 0.448 0.818 0.818
O7 0.552 0.182 0.182
O8 0.567 0.187 0.567
O9 0.567 0.567 0.187
O10 0.813 0.433 0.433
O11 0.818 0.448 0.818
O12 0.818 0.818 0.448

DFT total energy	-148.12	eV/cell
spin magnetization	1.09	Bohr magnetons per cell
formation energy (no corrections)	-2.593	eV per atom
volume	291.6	Å³/cell

[3]
Entry from Alexandria via LeMat-Bulk: MoCSeBr2 after structural relaxation (PBE).

Lattice parameters (Å, degrees): 5.214 5.214 4.859 90.00 90.00 90.00
Sites, in units of the cell vectors:
Mo1 0.000 0.000 0.000
C1 0.500 0.500 0.500
Se1 0.000 0.000 0.500
Br1 0.000 0.500 0.000
Br2 0.500 0.000 0.000

DFT total energy	-19.80	eV/cell
spin magnetization	3.63	Bohr magnetons per cell
formation energy (no corrections)	1.417	eV per atom
polymorph energy (0 for the lowest one)	0	meV per atom
volume	132.1	Å³/cell

[4]
Entry from Alexandria via LeMat-Bulk: TmMg9Zn3 after structural relaxation (PBE).

Lattice parameters (Å, degrees): 7.487 7.487 7.443 97.71 97.71 135.77
Sites, in units of the cell vectors:
Tm1 0.000 0.000 0.000
Mg1 0.000 0.000 0.500
Mg2 0.008 0.654 0.661
Mg3 0.294 0.510 0.792
Mg4 0.346 0.992 0.339
Mg5 0.490 0.706 0.208
Mg6 0.510 0.294 0.792
Mg7 0.654 0.008 0.661
Mg8 0.706 0.490 0.208
Mg9 0.992 0.346 0.339
Zn1 0.000 0.500 0.000
Zn2 0.500 0.000 0.000
Zn3 0.500 0.500 0.500

E_form	-0.078	eV/atom
DFT total energy	-23.66	eV/cell
spin magnetization	0.00	Bohr magnetons per cell
volume	271.9	Å³/cell

[5]
Entry from Alexandria via LeMat-Bulk: Tl12Hg3I5 after structural relaxation (PBE).

Lattice parameters (Å, degrees): 16.696 16.696 16.696 109.47 109.47 109.47
Sites, in units of the cell vectors:
Tl1 0.059 0.633 0.393
Tl2 0.059 0.926 0.667
Tl3 0.074 0.240 0.133
Tl4 0.074 0.333 0.941
Tl5 0.107 0.740 0.667
Tl6 0.107 0.867 0.441
Tl7 0.133 0.074 0.240
Tl8 0.133 0.559 0.893
Tl9 0.167 0.240 0.607
Tl10 0.167 0.426 0.559
Tl11 0.240 0.133 0.074
Tl12 0.240 0.607 0.167
Tl13 0.260 0.333 0.893
Tl14 0.260 0.426 0.367
Tl15 0.333 0.893 0.260
Tl16 0.333 0.941 0.074
Tl17 0.367 0.260 0.426
Tl18 0.367 0.607 0.941
Tl19 0.393 0.059 0.633
Tl20 0.393 0.833 0.760
Tl21 0.426 0.367 0.260
Tl22 0.426 0.559 0.167
Tl23 0.441 0.107 0.867
Tl24 0.441 0.833 0.574
Tl25 0.559 0.167 0.426
Tl26 0.559 0.893 0.133
Tl27 0.574 0.441 0.833
Tl28 0.574 0.633 0.740
Tl29 0.607 0.167 0.240
Tl30 0.607 0.941 0.367
Tl31 0.633 0.393 0.059
Tl32 0.633 0.740 0.574
Tl33 0.667 0.059 0.926
Tl34 0.667 0.107 0.740
Tl35 0.740 0.574 0.633
Tl36 0.740 0.667 0.107
Tl37 0.760 0.393 0.833
Tl38 0.760 0.867 0.926
Tl39 0.833 0.574 0.441
Tl40 0.833 0.760 0.393
Tl41 0.867 0.441 0.107
Tl42 0.867 0.926 0.760
Tl43 0.893 0.133 0.559
Tl44 0.893 0.260 0.333
Tl45 0.926 0.667 0.059
Tl46 0.926 0.760 0.867
Tl47 0.941 0.074 0.333
Tl48 0.941 0.367 0.607
Hg1 0.125 0.250 0.375
Hg2 0.125 0.375 0.750
Hg3 0.250 0.375 0.125
Hg4 0.250 0.875 0.625
Hg5 0.375 0.125 0.250
Hg6 0.375 0.750 0.125
Hg7 0.625 0.250 0.875
Hg8 0.625 0.875 0.750
Hg9 0.750 0.125 0.375
Hg10 0.750 0.625 0.875
Hg11 0.875 0.625 0.250
Hg12 0.875 0.750 0.625
I1 0.000 0.000 0.000
I2 0.000 0.000 0.500
I3 0.000 0.500 0.000
I4 0.000 0.500 0.500
I5 0.125 0.750 0.875
I6 0.125 0.875 0.250
I7 0.250 0.125 0.875
I8 0.250 0.625 0.375
I9 0.375 0.250 0.625
I10 0.375 0.625 0.750
I11 0.500 0.000 0.000
I12 0.500 0.000 0.500
I13 0.500 0.500 0.000
I14 0.500 0.500 0.500
I15 0.625 0.375 0.250
I16 0.625 0.750 0.375
I17 0.750 0.375 0.625
I18 0.750 0.875 0.125
I19 0.875 0.125 0.750
I20 0.875 0.250 0.125

DFT total energy	-155.01	eV/cell
spin magnetization	0.00	Bohr magnetons per cell
formation energy (no corrections)	-0.085	eV per atom
volume	3582.8	Å³/cell

[6]
Entry from Alexandria via LeMat-Bulk: NaLi2Sb2 after structural relaxation (PBE).

Lattice parameters (Å, degrees): 4.532 4.532 6.923 90.00 90.00 116.13
Sites, in units of the cell vectors:
Na1 0.000 0.000 0.000
Li1 0.168 0.832 0.500
Li2 0.832 0.168 0.500
Sb1 0.500 0.500 0.295
Sb2 0.500 0.500 0.705

DFT total energy	-15.26	eV/cell
spin magnetization	0.00	Bohr magnetons per cell
formation energy (no corrections)	-0.373	eV per atom
polymorph energy (0 for the lowest one)	71	meV per atom
volume	127.7	Å³/cell

[7]
Entry from Alexandria via LeMat-Bulk: MnZn2Hg after structural relaxation (PBE).

Lattice parameters (Å, degrees): 4.050 4.050 4.905 114.28 114.28 89.64
Sites, in units of the cell vectors:
Mn1 0.000 0.000 0.000
Zn1 0.249 0.751 0.500
Zn2 0.499 0.501 0.000
Hg1 0.749 0.251 0.500

E_form	0.171	eV/atom
DFT total energy	-11.34	eV/cell
spin magnetization	3.55	Bohr magnetons per cell
volume	65.5	Å³/cell

[8]
Entry from Alexandria via LeMat-Bulk: MnPbS4 after structural relaxation (PBE).

Lattice parameters (Å, degrees): 7.014 7.014 6.997 94.04 94.04 57.93
Sites, in units of the cell vectors:
Mn1 0.059 0.059 0.239
Mn2 0.941 0.941 0.761
Pb1 0.329 0.329 0.870
Pb2 0.671 0.671 0.130
S1 0.158 0.683 0.526
S2 0.234 0.766 0.000
S3 0.236 0.236 0.218
S4 0.317 0.842 0.474
S5 0.683 0.158 0.526
S6 0.764 0.764 0.782
S7 0.766 0.234 0.000
S8 0.842 0.317 0.474

DFT total energy	-62.06	eV/cell
spin magnetization	6.13	Bohr magnetons per cell
formation energy (no corrections)	-0.274	eV per atom
volume	290.7	Å³/cell

[9]
Entry from Alexandria via LeMat-Bulk: Na3CaI after structural relaxation (PBE).

Lattice parameters (Å, degrees): 6.733 6.733 6.733 90.00 90.00 90.00
Sites, in units of the cell vectors:
Na1 0.000 0.000 0.500
Na2 0.000 0.500 0.000
Na3 0.500 0.000 0.000
Ca1 0.000 0.000 0.000
I1 0.500 0.500 0.500

DFT total energy	-6.09	eV/cell
spin magnetization	1.74	Bohr magnetons per cell
formation energy (no corrections)	0.285	eV per atom
polymorph energy (0 for the lowest one)	456	meV per atom
volume	305.3	Å³/cell

[10]
Entry from Alexandria via LeMat-Bulk: Zr2NbCdC after structural relaxation (PBE).

Lattice parameters (Å, degrees): 4.613 4.613 4.308 90.00 90.00 90.00
Sites, in units of the cell vectors:
Zr1 0.000 0.500 0.000
Zr2 0.500 0.000 0.000
Nb1 0.000 0.000 0.500
Cd1 0.500 0.500 0.500
C1 0.000 0.000 0.000

E_form	-0.327	eV/atom
DFT total energy	-38.94	eV/cell
spin magnetization	0.00	Bohr magnetons per cell
volume	91.7	Å³/cell

Question: spin magnetization of number 4 (TmMg9Zn3)?
Answer: 0.00 Bohr magnetons per cell